No. 1
Below is crystalline GaHgTe2N at its relaxed geometry, with properties calculated at the PBEsol level.

Values from the calculation:
Formation energy without anion corrections, meV per atom: 1051

Lattice parameters (Å, degrees): 3.973 5.798 5.798 90.00 90.00 90.00
Site moments in Bohr magnetons follow the coordinates.
Fractional positions:
Te 0.000 0.000 0.500  0.11
Te 0.000 0.500 0.000  0.11
Hg 0.000 0.000 0.000  0.07
Ga 0.500 0.500 0.500  0.01
N 0.500 0.000 0.000  0.90

=====

No. 2
Below is crystalline NaGa3Hg at its relaxed geometry, with properties calculated at the PBEsol level.

Values from the calculation:
Formation energy, eV per atom: 0.371
ΔE to the lowest computed polymorph, meV per atom: 0

Lattice parameters (Å, degrees): 5.191 5.191 5.191 90.00 90.00 90.00
Fractional positions:
Hg 0.000 0.000 0.000
Na 0.500 0.500 0.500
Ga 0.000 0.500 0.000
Ga 0.000 0.000 0.500
Ga 0.500 0.000 0.000

=====

No. 3
Below is crystalline Na3GaHg at its relaxed geometry, with properties calculated at the PBEsol level.

Values from the calculation:
Formation energy, eV per atom: 0.234

Lattice parameters (Å, degrees): 5.576 5.576 5.576 90.00 90.00 90.00
Fractional positions:
Ga 0.000 0.000 0.000
Hg 0.500 0.500 0.500
Na 0.500 0.000 0.000
Na 0.000 0.500 0.000
Na 0.000 0.000 0.500

=====

No. 4
Below is crystalline NaTi2GaHg at its relaxed geometry, with properties calculated at the PBEsol level.

Values from the calculation:
Formation energy, eV per atom: 0.622

Lattice parameters (Å, degrees): 4.758 4.758 4.931 90.00 90.00 90.00
Fractional positions:
Ti 0.000 0.500 0.000
Ti 0.500 0.000 0.000
Ga 0.000 0.000 0.000
Hg 0.500 0.500 0.500
Na 0.000 0.000 0.500

=====

No. 5
Below is crystalline Ga2NiHg at its relaxed geometry, with properties calculated at the PBEsol level.

Values from the calculation:
Formation energy, eV per atom: 0.169

Lattice parameters (Å, degrees): 4.498 4.498 4.498 60.00 60.00 60.00
Fractional positions:
Ga 0.750 0.750 0.750
Ga 0.250 0.250 0.250
Hg 0.500 0.500 0.500
Ni 0.000 0.000 0.000

=====

No. 6
Below is crystalline YGa2NiHg at its relaxed geometry, with properties calculated at the PBEsol level.

Values from the calculation:
Formation energy, eV per atom: -0.290

Lattice parameters (Å, degrees): 4.498 4.498 4.845 90.00 90.00 90.00
Fractional positions:
Ni 0.000 0.000 0.000
Y 0.500 0.500 0.500
Ga 0.500 0.000 0.000
Ga 0.000 0.500 0.000
Hg 0.000 0.000 0.500

=====

No. 7
Below is crystalline GaSn2HgP at its relaxed geometry, with properties calculated at the PBEsol level.

Values from the calculation:
Formation energy, eV per atom: 0.474

Lattice parameters (Å, degrees): 4.927 5.171 5.171 90.00 90.00 90.00
Fractional positions:
Sn 0.000 0.500 0.000
Sn 0.000 0.000 0.500
Hg 0.500 0.000 0.000
P 0.000 0.000 0.000
Ga 0.500 0.500 0.500

=====

No. 8
Below is crystalline Ga2Hg2Pb at its relaxed geometry, with properties calculated at the PBEsol level.

Values from the calculation:
Formation energy, eV per atom: 0.055
ΔE to the lowest computed polymorph, meV per atom: 4

Lattice parameters (Å, degrees): 4.245 4.245 7.051 107.52 107.52 90.00
Fractional positions:
Ga 0.250 0.750 0.500
Ga 0.750 0.250 0.500
Hg 0.390 0.390 0.780
Hg 0.610 0.610 0.220
Pb 0.000 0.000 0.000

=====

These records have raw total energy values of -2.846; -2.026; -1.388; -3.768; -3.182; -4.336; -3.169; -2.308 eV/atom, in the order they appear.
These records have calculated volume values of 26.7; 28.0; 34.7; 22.3; 16.1; 19.6; 26.4; 23.0 Å³/atom, in the order they appear.